No. 1
The following is a meta-GGA SCAN calculation of a crystal of MnTcTe2N relaxed with PBEsol, from Alexandria.

Geometry as POSCAR:
```
MnTcTe2N
1.0
3.369 0.000 0.000
0.000 5.056 0.000
0.000 0.000 5.056
N Te Tc Mn
1 2 1 1
Cartesian
1.685 0.000 0.000 N
0.000 0.000 2.528 Te
0.000 2.528 0.000 Te
1.685 2.528 2.528 Tc
0.000 0.000 0.000 Mn
```

- Space-group type: No. 123



No. 2
The following is a meta-GGA SCAN calculation of a crystal of MnTe3N relaxed with PBEsol, from Alexandria.

Geometry as POSCAR:
```
MnTe3N
1.0
5.122 0.000 0.000
0.000 5.122 0.000
0.000 0.000 5.122
Te Mn N
3 1 1
Cartesian
0.000 0.000 2.561 Te
0.000 2.561 0.000 Te
2.561 0.000 0.000 Te
0.000 0.000 0.000 Mn
2.561 2.561 2.561 N
```

- Space-group type: No. 221



No. 3
The following is a meta-GGA SCAN calculation of a crystal of MnTe2N2 relaxed with PBEsol, from Alexandria.

Geometry as POSCAR:
```
MnTe2N2
1.0
3.793 0.000 0.000
0.000 3.793 0.000
-1.896 -1.896 5.610
Te Mn N
2 1 2
Cartesian
0.000 0.000 3.937 Te
1.896 1.896 1.673 Te
0.000 0.000 0.000 Mn
0.000 1.896 2.805 N
1.896 0.000 2.805 N
```

- Space-group type: No. 139



No. 4
The following is a meta-GGA SCAN calculation of a crystal of MnTe2N2 relaxed with PBEsol, from Alexandria.

Geometry as POSCAR:
```
MnTe2N2
1.0
3.369 0.000 0.000
0.000 4.906 0.000
0.000 0.000 4.906
Te N Mn
2 2 1
Cartesian
0.000 2.453 0.000 Te
0.000 0.000 2.453 Te
1.685 2.453 2.453 N
1.685 0.000 0.000 N
0.000 0.000 0.000 Mn
```

- Space-group type: No. 123



No. 5
The following is a meta-GGA SCAN calculation of a crystal of Ti3MnN relaxed with PBEsol, from Alexandria.

Geometry as POSCAR:
```
Ti3MnN
1.0
-2.474 -3.004 -1.145
1.905 -2.533 2.532
-2.590 1.006 2.956
Mn Ti N
1 3 1
Cartesian
-1.579 -2.266 2.171 Mn
0.953 -1.267 1.266 Ti
-1.295 0.503 1.478 Ti
-1.237 -1.502 -0.572 Ti
0.000 0.000 0.000 N
```

- Space-group type: No. 221



No. 6
The following is a meta-GGA SCAN calculation of a crystal of MnTl3N relaxed with PBEsol, from Alexandria.

Geometry as POSCAR:
```
MnTl3N
1.0
-3.397 -2.248 -3.036
3.212 -3.869 -0.728
-1.990 -2.406 4.008
Mn Tl N
1 3 1
Cartesian
0.000 0.000 0.000 Mn
-0.995 -1.203 2.004 Tl
1.606 -1.935 -0.364 Tl
-1.699 -1.124 -1.518 Tl
-1.088 -4.262 0.122 N
```

- Space-group type: No. 221



No. 7
The following is a meta-GGA SCAN calculation of a crystal of Mn2TlN relaxed with PBEsol, from Alexandria.

Geometry as POSCAR:
```
Mn2TlN
1.0
4.356 0.000 0.000
2.178 3.772 0.000
2.178 1.257 3.557
Tl Mn N
1 2 1
Cartesian
4.356 2.515 1.778 Tl
6.534 3.772 2.667 Mn
2.178 1.257 0.889 Mn
0.000 0.000 0.000 N
```

- Space-group type: No. 225



No. 8
The following is a meta-GGA SCAN calculation of a crystal of MnZnN2 relaxed with PBEsol, from Alexandria.

Geometry as POSCAR:
```
MnZnN2
1.0
-1.650 -2.872 2.902
1.639 -3.333 -2.366
3.712 3.295 2.030
N Mn Zn
4 2 2
Cartesian
1.673 -3.293 -0.351 N
2.707 -1.265 1.958 N
0.169 -2.817 2.036 N
2.853 1.553 1.488 N
1.028 -1.340 2.600 Mn
-0.005 -3.103 0.268 Mn
2.673 -1.571 -0.034 Zn
0.000 0.000 0.000 Zn
```

- Space-group type: No. 122



Spin magnetization? In order: 2.44; 6.86; 4.27; 0.00; 2.55; 4.83; 8.47; 2.92 μB per formula unit.
Formation energy (no corrections)? In order: 0.5476; 1.0442; 1.1145; 1.0898; -0.9496; 1.0079; 0.8387; -0.2529 eV per atom.